! PBE Na4DyHg2, relaxed; values from VASP
! E (eV for the cell shown): -10.02
&SYSTEM
  ibrav = 0, nat = 7, ntyp = 3
/
ATOMIC_SPECIES
Na 22.99 Na.upf
Dy 162.50 Dy.upf
Hg 200.59 Hg.upf
CELL_PARAMETERS angstrom
5.118 -3.035 0.000
5.118 3.035 0.000
-1.158 0.000 5.775
ATOMIC_POSITIONS angstrom
Na 2.657 1.605 5.127
Na 6.421 1.605 0.648
Na 2.657 -1.605 5.127
Na 6.421 -1.605 0.648
Dy 4.539 0.000 2.888
Hg 0.805 0.000 3.429
Hg 8.273 0.000 2.347